(1)
The following is a PBE calculation of a relaxed structure of Y3Mg3CdCuIr, from OQMD.

total magnetic moment = 0.06 Bohr magnetons per cell
symmetry = No. 174
VASP energy = -4.584 eV/atom

```
Y3Mg3CdCuIr
1.0
-5.330 4.406 -3.350
-2.126 -5.766 4.613
0.078 2.435 3.079
Y Mg Cu Cd Ir
3 3 1 1 1
direct
0.367 0.274 0.500
0.907 0.633 0.500
0.726 0.093 0.500
0.091 0.424 0.000
0.576 0.667 0.000
0.333 0.909 0.000
0.333 0.667 0.500
0.000 0.000 0.000
0.667 0.333 0.000
```

---

(2)
The following is a PBE calculation of a relaxed structure of LuReAu, from OQMD.

relative energy among the computed polymorphs = 429 meV per atom
total magnetic moment = 2.20 Bohr magnetons per cell
symmetry = No. 216
formation enthalpy at 0 K = 1.02 eV per atom

```
LuReAu
1.0
1.917 0.071 4.165
-1.871 -2.404 3.427
2.124 -3.731 1.610
Lu Re Au
1 1 1
direct
0.000 0.000 0.000
0.750 0.750 0.750
0.250 0.250 0.250
```